1.
ZnGaCuTc: relaxed, PBE-GGA.

For the spin magnetization, the calculation gives 0.01 μB/atom. The space group is F-43m, No. 216. The calculation puts the raw total energy at -17.37 eV per formula unit. The calculation puts the excess energy over the best structure of this formula in the dataset at 0.2080 eV/atom.

Cell and atoms, written as CIF:
```
data_ZnGaCuTc
_symmetry_space_group_name_H-M 'P 1'
_symmetry_Int_Tables_number 1
_cell_length_a 4.2773
_cell_length_b 4.2773
_cell_length_c 4.2773
_cell_angle_alpha 60.00
_cell_angle_beta 60.00
_cell_angle_gamma 60.00
loop_
_symmetry_equiv_pos_as_xyz
'x,y,z'
loop_
_atom_site_label
_atom_site_type_symbol
_atom_site_fract_x
_atom_site_fract_y
_atom_site_fract_z
Zn1 Zn 0.0000 0.0000 0.0000
Ga1 Ga 0.7500 0.7500 0.7500
Cu1 Cu 0.5000 0.5000 0.5000
Tc1 Tc 0.2500 0.2500 0.2500
```

---

2.
ZnGaCuTc: relaxed, PBE-GGA.

For the spin magnetization, the calculation gives 0.00 μB/atom. The space group is F-43m, No. 216. The calculation puts the raw total energy at -18.21 eV per formula unit. The calculation puts the excess energy over the best structure of this formula in the dataset at 0.0000 eV/atom.

Cell and atoms, written as CIF:
```
data_ZnGaCuTc
_symmetry_space_group_name_H-M 'P 1'
_symmetry_Int_Tables_number 1
_cell_length_a 4.2654
_cell_length_b 4.2654
_cell_length_c 4.2654
_cell_angle_alpha 60.00
_cell_angle_beta 60.00
_cell_angle_gamma 60.00
loop_
_symmetry_equiv_pos_as_xyz
'x,y,z'
loop_
_atom_site_label
_atom_site_type_symbol
_atom_site_fract_x
_atom_site_fract_y
_atom_site_fract_z
Zn1 Zn 0.0000 0.0000 0.0000
Ga1 Ga 0.5000 0.5000 0.5000
Cu1 Cu 0.7500 0.7500 0.7500
Tc1 Tc 0.2500 0.2500 0.2500
```

---

3.
Ga2CuTe: relaxed, PBE-GGA.

The space group is F-43m, No. 216. The calculation puts the raw total energy at -12.04 eV per formula unit.

Cell and atoms, written as CIF:
```
data_Ga2CuTe
_symmetry_space_group_name_H-M 'P 1'
_symmetry_Int_Tables_number 1
_cell_length_a 4.8648
_cell_length_b 4.8648
_cell_length_c 4.8648
_cell_angle_alpha 60.00
_cell_angle_beta 60.00
_cell_angle_gamma 60.00
loop_
_symmetry_equiv_pos_as_xyz
'x,y,z'
loop_
_atom_site_label
_atom_site_type_symbol
_atom_site_fract_x
_atom_site_fract_y
_atom_site_fract_z
Ga1 Ga 0.0000 0.0000 0.0000
Ga2 Ga 0.2500 0.2500 0.2500
Cu1 Cu 0.7500 0.7500 0.7500
Te1 Te 0.5000 0.5000 0.5000
```

---

4.
Ga2CuTe2: relaxed, PBE-GGA.

The space group is I4/mmm, No. 139. The calculation puts the raw total energy at -14.26 eV per formula unit.

Cell and atoms, written as CIF:
```
data_Ga2CuTe2
_symmetry_space_group_name_H-M 'P 1'
_symmetry_Int_Tables_number 1
_cell_length_a 7.3424
_cell_length_b 7.3424
_cell_length_c 7.3424
_cell_angle_alpha 143.28
_cell_angle_beta 143.28
_cell_angle_gamma 52.91
loop_
_symmetry_equiv_pos_as_xyz
'x,y,z'
loop_
_atom_site_label
_atom_site_type_symbol
_atom_site_fract_x
_atom_site_fract_y
_atom_site_fract_z
Ga1 Ga 0.2500 0.7500 0.5000
Ga2 Ga 0.7500 0.2500 0.5000
Cu1 Cu 0.0000 0.0000 0.0000
Te1 Te 0.3729 0.3729 0.0000
Te2 Te 0.6271 0.6271 0.0000
```

---

5.
GaCuTe3: relaxed, PBE-GGA.

The space group is P6_3/mmc, No. 194. The calculation puts the raw total energy at -14.45 eV per formula unit.

Cell and atoms, written as CIF:
```
data_GaCuTe3
_symmetry_space_group_name_H-M 'P 1'
_symmetry_Int_Tables_number 1
_cell_length_a 9.1488
_cell_length_b 9.1488
_cell_length_c 4.5630
_cell_angle_alpha 90.00
_cell_angle_beta 90.00
_cell_angle_gamma 120.00
loop_
_symmetry_equiv_pos_as_xyz
'x,y,z'
loop_
_atom_site_label
_atom_site_type_symbol
_atom_site_fract_x
_atom_site_fract_y
_atom_site_fract_z
Ga1 Ga 0.0000 0.0000 0.2500
Ga2 Ga 0.0000 0.0000 0.7500
Cu1 Cu 0.3333 0.6667 0.2500
Cu2 Cu 0.6667 0.3333 0.7500
Te1 Te 0.1770 0.3540 0.2500
Te2 Te 0.1770 0.8230 0.2500
Te3 Te 0.3540 0.1770 0.7500
Te4 Te 0.6460 0.8230 0.2500
Te5 Te 0.8230 0.1770 0.7500
Te6 Te 0.8230 0.6460 0.7500
```

---

6.
ZrGaCu2Te4: relaxed, PBE-GGA.

For the spin magnetization, the calculation gives 0.03 μB/atom. The space group is I-4, No. 82. The calculation puts the raw total energy at -33.81 eV per formula unit.

Cell and atoms, written as CIF:
```
data_ZrGaCu2Te4
_symmetry_space_group_name_H-M 'P 1'
_symmetry_Int_Tables_number 1
_cell_length_a 7.6412
_cell_length_b 7.6412
_cell_length_c 7.6412
_cell_angle_alpha 132.25
_cell_angle_beta 132.25
_cell_angle_gamma 69.84
loop_
_symmetry_equiv_pos_as_xyz
'x,y,z'
loop_
_atom_site_label
_atom_site_type_symbol
_atom_site_fract_x
_atom_site_fract_y
_atom_site_fract_z
Zr1 Zr 0.0000 0.0000 0.0000
Ga1 Ga 0.7500 0.2500 0.5000
Cu1 Cu 0.2500 0.7500 0.5000
Cu2 Cu 0.5000 0.5000 0.0000
Te1 Te 0.1467 0.6207 0.0200
Te2 Te 0.3793 0.3993 0.5259
Te3 Te 0.6007 0.1267 0.9800
Te4 Te 0.8733 0.8533 0.4741
```

---

7.
Tl2GaCu: relaxed, PBE-GGA.

The space group is F-43m, No. 216. The calculation puts the raw total energy at -10.16 eV per formula unit.

Cell and atoms, written as CIF:
```
data_Tl2GaCu
_symmetry_space_group_name_H-M 'P 1'
_symmetry_Int_Tables_number 1
_cell_length_a 5.0913
_cell_length_b 5.0913
_cell_length_c 5.0913
_cell_angle_alpha 60.00
_cell_angle_beta 60.00
_cell_angle_gamma 60.00
loop_
_symmetry_equiv_pos_as_xyz
'x,y,z'
loop_
_atom_site_label
_atom_site_type_symbol
_atom_site_fract_x
_atom_site_fract_y
_atom_site_fract_z
Tl1 Tl 0.0000 0.0000 0.0000
Tl2 Tl 0.2500 0.2500 0.2500
Ga1 Ga 0.5000 0.5000 0.5000
Cu1 Cu 0.7500 0.7500 0.7500
```

---

8.
TmGa6Cu6: relaxed, PBE-GGA.

For the spin magnetization, the calculation gives 0.00 μB/atom. The space group is Immm, No. 71. The calculation puts the raw total energy at -48.58 eV per formula unit.

Cell and atoms, written as CIF:
```
data_TmGa6Cu6
_symmetry_space_group_name_H-M 'P 1'
_symmetry_Int_Tables_number 1
_cell_length_a 6.5971
_cell_length_b 6.5971
_cell_length_c 6.5971
_cell_angle_alpha 134.05
_cell_angle_beta 99.80
_cell_angle_gamma 97.73
loop_
_symmetry_equiv_pos_as_xyz
'x,y,z'
loop_
_atom_site_label
_atom_site_type_symbol
_atom_site_fract_x
_atom_site_fract_y
_atom_site_fract_z
Tm1 Tm 0.0000 0.0000 0.0000
Ga1 Ga 0.1907 0.6907 0.5000
Ga2 Ga 0.3463 0.0000 0.3463
Ga3 Ga 0.3470 0.3470 0.0000
Ga4 Ga 0.6530 0.6530 0.0000
Ga5 Ga 0.6537 0.0000 0.6537
Ga6 Ga 0.8093 0.3093 0.5000
Cu1 Cu 0.0000 0.0000 0.5000
Cu2 Cu 0.0000 0.5000 0.0000
Cu3 Cu 0.2330 0.5000 0.7330
Cu4 Cu 0.5000 0.0000 0.0000
Cu5 Cu 0.5000 0.5000 0.5000
Cu6 Cu 0.7670 0.5000 0.2670
```

---

9.
TmGaCu: relaxed, PBE-GGA.

For the spin magnetization, the calculation gives 0.00 μB/atom. The space group is F-43m, No. 216. The calculation puts the raw total energy at -10.59 eV per formula unit.

Cell and atoms, written as CIF:
```
data_TmGaCu
_symmetry_space_group_name_H-M 'P 1'
_symmetry_Int_Tables_number 1
_cell_length_a 4.5834
_cell_length_b 4.5834
_cell_length_c 4.5834
_cell_angle_alpha 60.00
_cell_angle_beta 60.00
_cell_angle_gamma 60.00
loop_
_symmetry_equiv_pos_as_xyz
'x,y,z'
loop_
_atom_site_label
_atom_site_type_symbol
_atom_site_fract_x
_atom_site_fract_y
_atom_site_fract_z
Tm1 Tm 0.0000 0.0000 0.0000
Ga1 Ga 0.2500 0.2500 0.2500
Cu1 Cu 0.7500 0.7500 0.7500
```

---

10.
Tm2Ga5Cu3: relaxed, PBE-GGA.

For the spin magnetization, the calculation gives 0.00 μB/atom. The space group is Ibam, No. 72. The calculation puts the raw total energy at -39.63 eV per formula unit.

Cell and atoms, written as CIF:
```
data_Tm2Ga5Cu3
_symmetry_space_group_name_H-M 'P 1'
_symmetry_Int_Tables_number 1
_cell_length_a 8.2582
_cell_length_b 8.2582
_cell_length_c 8.2582
_cell_angle_alpha 101.55
_cell_angle_beta 92.38
_cell_angle_gamma 139.31
loop_
_symmetry_equiv_pos_as_xyz
'x,y,z'
loop_
_atom_site_label
_atom_site_type_symbol
_atom_site_fract_x
_atom_site_fract_y
_atom_site_fract_z
Tm1 Tm 0.1290 0.2440 0.3730
Tm2 Tm 0.3710 0.7440 0.1150
Tm3 Tm 0.6290 0.2560 0.8850
Tm4 Tm 0.8710 0.7560 0.6270
Ga1 Ga 0.0068 0.7500 0.2568
Ga2 Ga 0.1114 0.6472 0.7586
Ga3 Ga 0.2500 0.2500 0.0000
Ga4 Ga 0.3886 0.1472 0.5358
Ga5 Ga 0.4932 0.7500 0.7432
Ga6 Ga 0.5068 0.2500 0.2568
Ga7 Ga 0.6114 0.8528 0.4642
Ga8 Ga 0.7500 0.7500 0.0000
Ga9 Ga 0.8886 0.3528 0.2414
Ga10 Ga 0.9932 0.2500 0.7432
Cu1 Cu 0.1288 0.8699 0.9988
Cu2 Cu 0.2500 0.7500 0.5000
Cu3 Cu 0.3712 0.3699 0.7411
Cu4 Cu 0.6288 0.6301 0.2589
Cu5 Cu 0.7500 0.2500 0.5000
Cu6 Cu 0.8712 0.1301 0.0012
```